(1)
Computed, not measured: a relaxed structure of NdTaB at the PBE-GGA level of DFT.

Results
Magnetic moment = 0.03 μB per cell

Cell: 6.093 6.093 6.093 Å, 90.00 90.00 90.00°
Space group F-43m (No. 216)
Unique sites:
Nd: 0.000 0.000 0.000 [4 per cell]
Ta: 0.000 0.000 0.500 [4 per cell]
B: 0.250 0.250 0.250 [4 per cell]

***

(2)
Computed, not measured: a relaxed structure of Dy4Y2TmNi2Te2 at the PBE-GGA level of DFT.

Results
Magnetic moment = 0.01 μB per cell

Cell: 3.845 15.638 9.572 Å, 90.00 90.00 90.00°
Space group Imm2 (No. 44)
Unique sites:
Dy: 0.000 0.132 0.000 [4 per cell]
Dy: 0.000 0.315 0.202 [4 per cell]
Y: 0.000 0.355 0.852 [4 per cell]
Tm: 0.000 0.000 0.583 [2 per cell]
Ni: 0.000 0.239 0.511 [4 per cell]
Te: 0.000 0.000 0.247 [2 per cell]
Te: 0.000 0.500 0.346 [2 per cell]

***

(3)
Computed, not measured: a relaxed structure of NdSb6S8I4 at the PBE-GGA level of DFT.

Results
Magnetic moment = 0.02 μB per cell

Cell: 7.541 9.167 9.184 Å, 92.18 107.85 96.55°
Space group P-1 (No. 2)
Unique sites:
Nd: 0.000 0.000 0.000 [1 per cell]
Sb: 0.227 0.307 0.786 [2 per cell]
Sb: 0.234 0.934 0.440 [2 per cell]
Sb: 0.242 0.642 0.157 [2 per cell]
S: 0.083 0.316 0.014 [2 per cell]
S: 0.089 0.016 0.718 [2 per cell]
S: 0.094 0.649 0.385 [2 per cell]
S: 0.345 0.922 0.200 [2 per cell]
I: 0.355 0.284 0.473 [2 per cell]
I: 0.356 0.655 0.853 [2 per cell]

***

Record-wise total energy values, in eV per atom: -7.24 -5.51 -4.08